1.
Below is an optimized crystal structure of Cs2KHCl, with properties calculated at the GGA-PBE level.

a b c (Å): 6.315 6.315 5.324
angles (deg): 90.00 90.00 90.00
Space group P4/mmm (No. 123)
Inequivalent atoms, fractional coordinates:
Cs: 0.000 0.500 0.000 [2 per cell]
K: 0.000 0.000 0.500 [1 per cell]
H: 0.000 0.000 0.000 [1 per cell]
Cl: 0.500 0.500 0.500 [1 per cell]

## Properties
Total DFT energy (no corrections): -2.2008 eV per atom
Total magnetic moment: 0.3 μB/f.u.

---

2.
Below is an optimized crystal structure of Cs2LaHCl6, with properties calculated at the GGA-PBE level.

a b c (Å): 7.091 7.091 12.421
angles (deg): 90.00 90.00 90.00
Space group I4/mmm (No. 139)
Inequivalent atoms, fractional coordinates:
Cs: 0.000 0.500 0.250 [4 per cell]
La: 0.000 0.000 0.000 [2 per cell]
H: 0.000 0.000 0.500 [2 per cell]
Cl: 0.000 0.000 0.223 [4 per cell]
Cl: 0.222 0.222 0.500 [8 per cell]

## Properties
Total DFT energy (no corrections): -3.7165 eV per atom
Total magnetic moment: 0.0 μB/f.u.

---

3.
Below is an optimized crystal structure of CsLiHCl, with properties calculated at the GGA-PBE level.

a b c (Å): 13.298 3.935 4.193
angles (deg): 90.00 92.47 90.00
Space group Cm (No. 8)
Inequivalent atoms, fractional coordinates:
Cs: 0.000 0.000 0.000 [2 per cell]
Li: 0.276 0.000 0.502 [2 per cell]
H: 0.408 0.000 0.483 [2 per cell]
Cl: 0.181 0.500 0.534 [2 per cell]

## Properties
Total DFT energy (no corrections): -3.0108 eV per atom
Total magnetic moment: 0.0 μB/f.u.